(1)
VASP calculation (PBE) on BaLa4Cu5O12 after structural relaxation.

POSCAR file:
```
BaLa4Cu5O12
1.0
8.7086 0.0000 0.0000
0.0000 8.7086 0.0000
0.0000 0.0000 3.8888
Ba La Cu O
1 4 5 12
Direct
0.0000 0.0000 0.0000
0.2006 0.3729 0.0000
0.3729 0.7994 0.0000
0.6271 0.2006 0.0000
0.7994 0.6271 0.0000
0.0939 0.6652 0.5000
0.3348 0.0939 0.5000
0.5000 0.5000 0.5000
0.6652 0.9061 0.5000
0.9061 0.3348 0.5000
0.0903 0.6539 0.0000
0.1046 0.2349 0.5000
0.2349 0.8954 0.5000
0.2846 0.5493 0.5000
0.3461 0.0903 0.0000
0.4507 0.2846 0.5000
0.5493 0.7154 0.5000
0.6539 0.9097 0.0000
0.7154 0.4507 0.5000
0.7651 0.1046 0.5000
0.8954 0.7651 0.5000
0.9097 0.3461 0.0000
```

final energy = -6.68 eV per atom
calculated volume = 294.9 Å³/f.u.



(2)
VASP calculation (PBE) on Tl3In2Hg7 after structural relaxation.

POSCAR file:
```
Tl3In2Hg7
1.0
6.1911 0.0000 0.0000
0.0000 3.4538 0.0000
-0.1745 0.0000 15.7779
Tl In Hg
3 2 7
Direct
0.0000 0.0000 0.0000
0.4914 0.5000 0.3406
0.5086 0.5000 0.6594
0.0105 0.0000 0.6742
0.9895 0.0000 0.3258
0.1949 0.5000 0.1663
0.2470 0.0000 0.4984
0.3253 0.0000 0.8362
0.5000 0.5000 0.0000
0.6747 0.0000 0.1638
0.7530 0.0000 0.5016
0.8051 0.5000 0.8337
```

final energy = -1.22 eV per atom
formation energy from the elements = 2.9 meV per atom
calculated volume = 337.4 Å³/f.u.



(3)
VASP calculation (PBE) on Sr3La after structural relaxation.

POSCAR file:
```
Sr3La
1.0
13.6694 0.0000 0.0000
0.0000 4.0456 0.0000
-1.2076 0.0000 7.0687
Sr La
6 2
Direct
0.0000 0.0000 0.0000
0.2447 0.0000 0.7412
0.2553 0.5000 0.2588
0.5000 0.5000 0.0000
0.7447 0.5000 0.7412
0.7553 0.0000 0.2588
0.0000 0.5000 0.5000
0.5000 0.0000 0.5000
```

E above lowest polymorph = 0.040 eV/atom
final energy = -2.36 eV per atom
formation energy from the elements = 133.2 meV per atom
calculated volume = 195.5 Å³/f.u.



(4)
VASP calculation (PBE) on Cs2KSe after structural relaxation.

POSCAR file:
```
Cs2KSe
1.0
9.2099 0.0000 0.0000
0.0000 9.2099 0.0000
0.0000 0.0000 9.2099
Cs K Se
8 4 4
Direct
0.2500 0.2500 0.2500
0.2500 0.2500 0.7500
0.2500 0.7500 0.2500
0.2500 0.7500 0.7500
0.7500 0.2500 0.2500
0.7500 0.2500 0.7500
0.7500 0.7500 0.2500
0.7500 0.7500 0.7500
0.0000 0.0000 0.0000
0.0000 0.5000 0.5000
0.5000 0.0000 0.5000
0.5000 0.5000 0.0000
0.0000 0.0000 0.5000
0.0000 0.5000 0.0000
0.5000 0.0000 0.0000
0.5000 0.5000 0.5000
```

E above lowest polymorph = 0.231 eV/atom
final energy = -2.04 eV per atom
calculated volume = 195.3 Å³/f.u.



(5)
VASP calculation (PBE) on AsH2Ir after structural relaxation.

POSCAR file:
```
AsH2Ir
1.0
3.4367 0.0000 0.0000
0.0000 3.4367 0.0000
0.0000 0.0000 7.5105
As H Ir
2 4 2
Direct
0.0000 0.0000 0.0000
0.5000 0.5000 0.5000
0.0000 0.0000 0.3221
0.0000 0.0000 0.6779
0.5000 0.5000 0.1779
0.5000 0.5000 0.8221
0.0000 0.5000 0.7500
0.5000 0.0000 0.2500
```

E above lowest polymorph = 0.012 eV/atom
final energy = -5.01 eV per atom
calculated volume = 44.4 Å³/f.u.



(6)
VASP calculation (PBE) on Al2Si after structural relaxation.

POSCAR file:
```
Al2Si
1.0
4.4555 0.0000 0.0000
-2.2278 3.8586 0.0000
0.0000 0.0000 2.8286
Al Si
2 1
Direct
0.3333 0.6667 0.2535
0.6667 0.3333 0.7465
0.0000 0.0000 0.5000
```

final energy = -4.12 eV per atom
calculated volume = 48.6 Å³/f.u.



(7)
VASP calculation (PBE) on DyNp2S4 after structural relaxation.

POSCAR file:
```
DyNp2S4
1.0
-3.9050 3.9439 5.5265
3.9050 -3.9439 5.5265
3.9050 3.9439 -5.5265
Dy Np S
2 4 8
Direct
0.5000 0.0000 0.0000
0.5000 0.5000 0.5000
0.0000 0.0000 0.0000
0.0000 0.0000 0.5000
0.0000 0.5000 0.0000
0.5000 0.0000 0.5000
0.2480 0.7472 0.5007
0.2515 0.2420 0.4905
0.2515 0.7610 0.0095
0.2535 0.2528 0.0007
0.7465 0.7472 0.9993
0.7485 0.2390 0.9905
0.7485 0.7580 0.5095
0.7520 0.2528 0.4993
```

E above lowest polymorph = 0.031 eV/atom
final energy = -8.24 eV per atom
calculated volume = 170.2 Å³/f.u.



(8)
VASP calculation (PBE) on BeFe2Br after structural relaxation.

POSCAR file:
```
BeFe2Br
1.0
5.1692 0.0000 0.0000
0.0000 8.5139 0.0000
-1.6530 0.0000 2.5220
Be Fe Br
2 4 2
Direct
0.0000 0.0000 0.0000
0.5000 0.5000 0.0000
0.2500 0.2500 0.0000
0.2500 0.7500 0.0000
0.7500 0.2500 0.0000
0.7500 0.7500 0.0000
0.0000 0.5000 0.0000
0.5000 0.0000 0.0000
```

E above lowest polymorph = 0.479 eV/atom
final energy = -4.84 eV per atom
calculated volume = 55.5 Å³/f.u.



Number 1: total magnetic moment 0.00 μB/cell. Number 2: total magnetic moment 0.00 μB/cell. Number 3: total magnetic moment 1.71 μB/cell. Number 4: total magnetic moment 2.85 μB/cell. Number 5: total magnetic moment 0.00 μB/cell. Number 6: total magnetic moment 0.00 μB/cell. Number 7: total magnetic moment 0.45 μB/cell. Number 8: total magnetic moment 10.01 μB/cell.